Entry 1:
Compound: AlCdAg2
Source: the Alexandria database
Functional: SCAN
Structure: PBEsol geometry

Unit cell a=3.1909 b=3.1909 c=6.6220 alpha=90.00 beta=90.00 gamma=90.00
Fractional positions:
Al 0.0000 0.0000 0.0000
Cd 0.0000 0.0000 0.5000
Ag 0.5000 0.5000 0.2255
Ag 0.5000 0.5000 0.7745

Entry 2:
Compound: AlCd2Ag
Source: the Alexandria database
Functional: SCAN
Structure: PBEsol geometry

Unit cell a=3.0149 b=4.1825 c=5.8352 alpha=90.00 beta=90.00 gamma=90.00
Fractional positions:
Al 0.0000 0.0000 0.0000
Cd 0.5000 0.5000 0.2520
Cd 0.5000 0.5000 0.7480
Ag 0.0000 0.0000 0.5000

Entry 3:
Compound: AlCd2Ag
Source: the Alexandria database
Functional: SCAN
Structure: PBEsol geometry

Unit cell a=2.9528 b=2.9528 c=8.4710 alpha=90.00 beta=90.00 gamma=90.00
Fractional positions:
Al 0.0000 0.0000 0.0000
Cd 0.0000 0.0000 0.5343
Cd 0.5000 0.5000 0.2569
Ag 0.5000 0.5000 0.7861

Formation energy across the listed records, respectively: -88; 33; 17 meV/atom.
Electronic total energy across the listed records, respectively: -101.25; -99.82; -99.88 eV/cell.